AcTe3Pb, relaxed, DFT GGA-PBE; formation energy without anion corrections = -0.62 eV per atom
1.0
3.2755 -10.9843 0.0000
3.2755 10.9843 0.0000
0.0000 0.0000 6.0741
Ac Te Pb
2 6 2
Cartesian
3.2755 6.7154 0.0000
3.2755 -6.7154 0.0000
1.6377 5.4921 3.0370
1.4745 0.0000 3.0370
3.2755 3.4269 0.0000
1.6377 -5.4921 3.0370
3.2755 -3.4269 0.0000
5.0765 0.0000 3.0370
3.2755 2.4754 3.0370
3.2755 -2.4754 3.0370

=====

Ac6TlTe3Pb2, relaxed, DFT GGA-PBE; formation energy without anion corrections = -0.99 eV per atom
1.0
10.5567 -2.4042 0.0000
10.5567 2.4042 0.0000
-2.4792 0.0000 9.3517
Ac Tl Te Pb
6 1 3 2
Cartesian
20.4958 0.0000 2.3276
-1.8616 0.0000 7.0242
5.9378 0.0000 3.9668
4.7938 0.0000 8.5500
13.8404 0.0000 0.8017
12.6964 0.0000 5.3849
10.5567 0.0000 0.0000
1.4859 0.0000 7.7734
9.3171 0.0000 4.6759
17.1483 0.0000 1.5783
2.6672 0.0000 3.0794
15.9670 0.0000 6.2723

=====

AcYTePb, relaxed, DFT GGA-PBE; formation energy without anion corrections = -0.99 eV per atom
1.0
2.3196 1.3392 7.5390
-2.3196 1.3392 7.5390
0.0000 -2.6784 7.5390
Ac Y Te Pb
1 1 1 1
Cartesian
0.0000 0.0000 0.0000
0.0000 0.0000 11.1524
0.0000 0.0000 5.4040
0.0000 0.0000 17.0580

=====

AcThPb, relaxed, DFT GGA-PBE; ΔE_f = -0.34 eV/atom; polymorph energy (0 for the lowest one) = 0.00 eV/f.u.
1.0
4.8094 0.0000 0.0000
0.0000 4.8094 0.0000
0.0000 0.0000 9.3746
Ac Th Pb
2 2 2
Cartesian
1.2023 1.2023 1.3686
3.6070 3.6070 8.0060
1.2023 3.6070 4.6873
3.6070 1.2023 4.6873
1.2023 1.2023 7.1553
3.6070 3.6070 2.2193

=====

no.,volume (Å³ per atom)
1,43.71
2,39.56
3,35.13
4,36.14